VASP calculation (PBE) on an optimized crystal structure of ScAl2Ru2.

Geometry as extended XYZ:
```
10
Lattice="-0.502 -6.692 2.338 4.519 1.503 5.275 -2.373 0.808 1.803" Properties=species:S:1:pos:R:3 pbc="T T T"
Ru 0.366 -4.143 2.338
Ru 1.488 -0.507 2.186
Ru 3.651 -1.046 5.275
Ru 2.528 -4.682 5.426
Al -0.727 -1.783 2.486
Al 2.371 -2.598 6.929
Al 0.003 -4.802 4.800
Al 1.642 0.422 4.616
Sc 0.000 0.000 0.000
Sc 2.008 -2.594 3.806
```

## Properties
Final energy   -7.071 eV/atom
Energy above the most stable polymorph in this dataset   0.0262 eV per atom
Space group   P4/mbm (127)